# 1
The following is a DFT calculation (GGA-PBE) of crystalline HfAsW at its relaxed geometry.

## Properties
formation energy: -0.197 eV/atom
electronic total energy: -9.383 eV/atom

```
HfAsW
1.0
5.381 0.000 0.002
0.000 3.369 0.000
-2.387 0.000 6.104
As Hf W
2 2 2
Cartesian
4.797 0.000 1.047
2.303 0.000 3.293
-1.999 1.685 5.241
0.160 1.685 2.976
0.488 0.000 5.315
2.795 1.685 1.303
```



# 2
The following is a DFT calculation (GGA-PBE) of crystalline LiTiNbTl2 at its relaxed geometry.

## Properties
formation energy: 0.789 eV/atom
electronic total energy: -4.133 eV/atom

```
LiTiNbTl2
1.0
4.604 0.000 0.000
0.000 4.729 0.000
0.000 0.000 4.604
Tl Li Nb Ti
2 1 1 1
Cartesian
0.000 0.000 2.302
2.302 0.000 0.000
0.000 0.000 0.000
0.000 2.364 0.000
2.302 2.364 2.302
```



# 3
The following is a DFT calculation (GGA-PBE) of crystalline HoErTc at its relaxed geometry.

## Properties
formation energy: -0.074 eV/atom
electronic total energy: -6.577 eV/atom
distance to the lowest polymorph of the same formula: 0 meV per atom

```
HoErTc
1.0
-2.162 1.214 -2.403
-0.729 -3.231 -0.976
-3.159 0.824 5.738
Tc Ho Er
1 1 1
Cartesian
-2.984 -1.070 -0.337
-0.326 -0.013 0.287
-2.739 -0.110 2.409
```



# 4
The following is a DFT calculation (GGA-PBE) of crystalline Ca4LaRh at its relaxed geometry.

## Properties
formation energy: 0.571 eV/atom
electronic total energy: -2.810 eV/atom

```
Ca4LaRh
1.0
-2.377 -4.705 3.961
-5.658 0.969 3.243
-5.409 -3.348 -1.735
Ca La Rh
4 1 1
Cartesian
-6.227 -5.017 4.039
-7.752 -4.335 1.175
-7.877 -2.164 3.678
-5.032 -2.651 2.047
-10.083 -5.313 4.102
0.000 0.000 0.000
```